Below is a relaxed Er3Se2NO crystal, with properties calculated at the GGA-PBE level.

Geometry as CIF:
```
data_Er3Se2NO
_cell_length_a 7.914
_cell_length_b 7.914
_cell_length_c 9.590
_cell_angle_alpha 97.28
_cell_angle_beta 97.28
_cell_angle_gamma 28.22
_symmetry_space_group_name_H-M 'P 1'
_symmetry_Int_Tables_number 1
_symmetry_space_group_name_Hall 'P 1'
loop_
_atom_site_label
_atom_site_type_symbol
_atom_site_fract_x
_atom_site_fract_y
_atom_site_fract_z
Er1 Er 0.045 0.045 0.259
Er2 Er 0.196 0.196 0.675
Er3 Er 0.393 0.393 0.056
Er4 Er 0.607 0.607 0.944
Er5 Er 0.804 0.804 0.325
Er6 Er 0.955 0.955 0.741
Se1 Se 0.213 0.213 0.150
Se2 Se 0.371 0.371 0.527
Se3 Se 0.629 0.629 0.473
Se4 Se 0.787 0.787 0.850
N1 N 0.097 0.097 0.812
N2 N 0.903 0.903 0.188
O1 O 0.464 0.464 0.861
O2 O 0.536 0.536 0.139
```

Summary:
Magnetization, μB per formula unit: 0.00
E_tot, eV/atom: -7.15